This record from OQMD via LeMat-Bulk describes crystalline PrZr2O4 at its relaxed geometry. The functional is GGA-PBE.

abc: 6.669 6.669 6.669
angles: 119.99 90.02 119.99
Sites, in units of the cell vectors:
O: 0.166 0.777 0.389
O: 0.611 0.223 0.389
O: 0.611 0.777 0.389
O: 0.139 0.277 0.416
O: 0.611 0.223 0.834
O: 0.139 0.723 0.861
O: 0.139 0.277 0.861
O: 0.584 0.723 0.861
Pr: 0.000 0.000 0.000
Pr: 0.750 0.500 0.250
Zr: 0.375 0.750 0.125
Zr: 0.375 0.750 0.625
Zr: 0.375 0.250 0.625
Zr: 0.875 0.250 0.625

Calculated values
- volume (A^3/atom) = 14.98
- space group = No. 227
- final energy (eV/cell) = -121.73



This record from OQMD via LeMat-Bulk describes crystalline Pr2Zr2O7 at its relaxed geometry. The functional is GGA-PBE.

abc: 7.595 7.595 7.595
angles: 120.00 90.00 120.00
Sites, in units of the cell vectors:
O: 0.415 0.750 0.085
O: 0.835 0.170 0.085
O: 0.835 0.750 0.085
O: 0.585 0.250 0.335
O: 0.585 0.670 0.335
O: 0.165 0.250 0.335
O: 0.125 0.750 0.375
O: 0.875 0.250 0.625
O: 0.835 0.750 0.665
O: 0.415 0.330 0.665
O: 0.415 0.750 0.665
O: 0.165 0.250 0.915
O: 0.165 0.830 0.915
O: 0.585 0.250 0.915
Pr: 0.000 0.500 0.000
Pr: 0.000 0.000 0.500
Pr: 0.000 0.500 0.500
Pr: 0.500 0.000 0.500
Zr: 0.000 0.000 0.000
Zr: 0.500 0.000 0.000
Zr: 0.500 0.500 0.000
Zr: 0.500 0.500 0.500

Calculated values
- volume (A^3/atom) = 14.08
- space group = No. 227
- final energy (eV/cell) = -197.13



This record from OQMD via LeMat-Bulk describes crystalline PrZrO3 at its relaxed geometry. The functional is GGA-PBE.

abc: 5.600 5.600 6.144
angles: 62.89 62.89 60.00
Sites, in units of the cell vectors:
O: 0.163 0.029 0.239
O: 0.570 0.163 0.239
O: 0.029 0.570 0.239
O: 0.971 0.430 0.761
O: 0.430 0.837 0.761
O: 0.837 0.971 0.761
Pr: 0.623 0.623 0.130
Pr: 0.377 0.377 0.870
Zr: 0.844 0.844 0.467
Zr: 0.156 0.156 0.533

Calculated values
- volume (A^3/atom) = 14.19
- space group = No. 148
- final energy (eV/cell) = -86.75



This record from OQMD via LeMat-Bulk describes crystalline PtO2 at its relaxed geometry. The functional is GGA-PBE.

abc: 4.728 4.728 5.845
angles: 90.00 90.00 120.00
Sites, in units of the cell vectors:
O: 0.605 0.032 0.092
O: 0.395 0.427 0.241
O: 0.968 0.573 0.426
O: 0.573 0.968 0.574
O: 0.427 0.395 0.759
O: 0.032 0.605 0.908
Pt: 0.706 0.706 0.000
Pt: 0.294 0.000 0.333
Pt: 0.000 0.294 0.667

Calculated values
- volume (A^3/atom) = 12.57
- space group = No. 152
- final energy (eV/cell) = -46.67



This record from OQMD via LeMat-Bulk describes crystalline Pt2O at its relaxed geometry. The functional is GGA-PBE.

abc: 3.921 3.921 3.921
angles: 60.00 60.00 60.00
Sites, in units of the cell vectors:
O: 0.000 0.000 0.000
Pt: 0.250 0.250 0.250
Pt: 0.750 0.750 0.750

Calculated values
- volume (A^3/atom) = 14.20
- space group = No. 225
- final energy (eV/cell) = -14.24



This record from OQMD via LeMat-Bulk describes crystalline PtO2 at its relaxed geometry. The functional is GGA-PBE.

abc: 6.237 6.237 6.237
angles: 60.00 60.00 60.00
Sites, in units of the cell vectors:
O: 0.375 0.875 0.375
O: 0.375 0.375 0.375
O: 0.875 0.375 0.375
O: 0.375 0.375 0.875
Pt: 0.250 0.250 0.250
Pt: 0.500 0.500 0.500

Calculated values
- volume (A^3/atom) = 28.59
- space group = No. 227
- final energy (eV/cell) = -30.09



This record from OQMD via LeMat-Bulk describes crystalline PtO2 at its relaxed geometry. The functional is GGA-PBE.

abc: 4.623 5.564 5.034
angles: 90.00 90.00 90.00
Sites, in units of the cell vectors:
O: 0.249 0.403 0.071
O: 0.251 0.903 0.071
O: 0.751 0.403 0.429
O: 0.749 0.903 0.429
O: 0.251 0.097 0.571
O: 0.249 0.597 0.571
O: 0.749 0.097 0.929
O: 0.751 0.597 0.929
Pt: 0.000 0.152 0.250
Pt: 0.500 0.652 0.250
Pt: 0.500 0.348 0.750
Pt: 0.000 0.848 0.750

Calculated values
- volume (A^3/atom) = 10.79
- space group = No. 60
- final energy (eV/cell) = -68.76



This record from OQMD via LeMat-Bulk describes crystalline PtO3 at its relaxed geometry. The functional is GGA-PBE.

abc: 5.253 5.253 4.696
angles: 101.24 101.24 120.48
Sites, in units of the cell vectors:
O: 0.965 0.587 0.245
O: 0.587 0.965 0.245
O: 0.205 0.205 0.258
O: 0.795 0.795 0.742
O: 0.413 0.035 0.755
O: 0.035 0.413 0.755
Pt: 0.835 0.165 0.000
Pt: 0.165 0.835 0.000

Calculated values
- volume (A^3/atom) = 12.84
- space group = No. 12
- final energy (eV/cell) = -41.88



This record from OQMD via LeMat-Bulk describes crystalline PtO2 at its relaxed geometry. The functional is GGA-PBE.

abc: 7.273 7.273 7.273
angles: 92.72 92.72 154.84
Sites, in units of the cell vectors:
O: 0.849 0.198 0.048
O: 0.828 0.449 0.278
O: 0.198 0.151 0.349
O: 0.551 0.828 0.379
O: 0.449 0.172 0.621
O: 0.802 0.849 0.651
O: 0.172 0.551 0.722
O: 0.151 0.802 0.952
Pt: 0.353 0.829 0.182
Pt: 0.829 0.647 0.476
Pt: 0.171 0.353 0.524
Pt: 0.647 0.171 0.818

Calculated values
- volume (A^3/atom) = 13.31
- space group = No. 87
- final energy (eV/cell) = -68.88



This record from OQMD via LeMat-Bulk describes crystalline PtO2 at its relaxed geometry. The functional is GGA-PBE.

abc: 3.036 2.654 4.972
angles: 90.00 103.71 90.00
Sites, in units of the cell vectors:
O: 0.099 0.500 0.255
O: 0.901 0.500 0.745
Pt: 0.500 0.500 0.000

Calculated values
- volume (A^3/atom) = 12.97
- space group = No. 10
- final energy (eV/cell) = -16.17



This record from OQMD via LeMat-Bulk describes crystalline PtO2 at its relaxed geometry. The functional is GGA-PBE.

abc: 2.841 2.841 8.999
angles: 90.00 90.00 90.00
Sites, in units of the cell vectors:
O: 0.000 0.000 0.000
O: 0.500 0.500 0.000
O: 0.500 0.000 0.291
O: 0.000 0.500 0.709
Pt: 0.000 0.500 0.357
Pt: 0.500 0.000 0.643

Calculated values
- volume (A^3/atom) = 12.10
- space group = No. 129
- final energy (eV/cell) = -26.27



This record from OQMD via LeMat-Bulk describes crystalline Pt2O5 at its relaxed geometry. The functional is GGA-PBE.

abc: 5.486 4.979 4.615
angles: 97.69 102.02 123.75
Sites, in units of the cell vectors:
O: 0.579 0.984 0.256
O: 0.179 0.185 0.262
O: 0.055 0.418 0.744
O: 0.435 0.062 0.748
O: 0.786 0.765 0.751
Pt: 0.830 0.156 0.995
Pt: 0.171 0.843 0.998

Calculated values
- volume (A^3/atom) = 13.94
- space group = No. 1
- final energy (eV/cell) = -36.27



This record from OQMD via LeMat-Bulk describes crystalline PtO2 at its relaxed geometry. The functional is GGA-PBE.

abc: 3.555 3.555 3.555
angles: 60.00 60.00 60.00
Sites, in units of the cell vectors:
O: 0.250 0.250 0.250
O: 0.750 0.750 0.750
Pt: 0.000 0.000 0.000

Calculated values
- volume (A^3/atom) = 10.59
- space group = No. 225
- final energy (eV/cell) = -16.11



This record from OQMD via LeMat-Bulk describes crystalline PtO2 at its relaxed geometry. The functional is GGA-PBE.

abc: 4.509 3.171 4.547
angles: 90.00 90.02 90.00
Sites, in units of the cell vectors:
O: 0.135 0.500 0.243
O: 0.635 0.000 0.256
O: 0.365 0.000 0.744
O: 0.865 0.500 0.757
Pt: 0.000 0.000 0.000
Pt: 0.500 0.500 0.500

Calculated values
- volume (A^3/atom) = 10.84
- space group = No. 58
- final energy (eV/cell) = -34.64



This record from OQMD via LeMat-Bulk describes crystalline PtO2 at its relaxed geometry. The functional is GGA-PBE.

abc: 3.735 3.735 2.999
angles: 90.00 90.00 91.45
Site moments in Bohr magnetons follow the coordinates.
Sites, in units of the cell vectors:
O: 0.234 0.234 0.500  0.03
O: 0.766 0.766 0.500  0.03
Pt: 0.000 0.000 0.000  0.07

Calculated values
- volume (A^3/atom) = 13.94
- space group = No. 65
- final energy (eV/cell) = -15.91



This record from OQMD via LeMat-Bulk describes crystalline PtO2 at its relaxed geometry. The functional is GGA-PBE.

abc: 3.549 3.549 5.042
angles: 90.00 90.00 90.00
Sites, in units of the cell vectors:
O: 0.000 0.500 0.245
O: 0.500 0.000 0.255
O: 0.000 0.500 0.745
O: 0.500 0.000 0.755
Pt: 0.000 0.000 0.000
Pt: 0.500 0.500 0.500

Calculated values
- volume (A^3/atom) = 10.58
- space group = No. 137
- final energy (eV/cell) = -32.21



This record from OQMD via LeMat-Bulk describes crystalline PtO2 at its relaxed geometry. The functional is GGA-PBE.

abc: 6.186 6.186 3.896
angles: 90.00 90.00 153.30
Site moments in Bohr magnetons follow the coordinates.
Sites, in units of the cell vectors:
O: 0.701 0.299 0.250  0.11
O: 0.451 0.549 0.250  -0.03
O: 0.549 0.451 0.750  -0.03
O: 0.299 0.701 0.750  0.11
Pt: 0.091 0.909 0.250  0.07
Pt: 0.909 0.091 0.750  0.07

Calculated values
- volume (A^3/atom) = 11.17
- space group = No. 63
- final energy (eV/cell) = -29.47



This record from OQMD via LeMat-Bulk describes crystalline PtO2 at its relaxed geometry. The functional is GGA-PBE.

abc: 4.442 4.618 6.360
angles: 90.00 90.00 90.00
Sites, in units of the cell vectors:
O: 0.383 0.258 0.125
O: 0.118 0.743 0.125
O: 0.882 0.243 0.375
O: 0.617 0.758 0.375
O: 0.117 0.742 0.625
O: 0.382 0.257 0.625
O: 0.618 0.757 0.875
O: 0.883 0.242 0.875
Pt: 0.750 0.000 0.125
Pt: 0.250 0.500 0.375
Pt: 0.750 0.000 0.625
Pt: 0.250 0.500 0.875

Calculated values
- volume (A^3/atom) = 10.87
- space group = No. 58
- final energy (eV/cell) = -69.30



This record from OQMD via LeMat-Bulk describes crystalline PtO2 at its relaxed geometry. The functional is GGA-PBE.

abc: 4.758 4.758 4.758
angles: 36.92 36.92 36.92
Sites, in units of the cell vectors:
O: 0.240 0.240 0.240
O: 0.429 0.429 0.429
Pt: 0.000 0.000 0.000

Calculated values
- volume (A^3/atom) = 11.61
- space group = No. 160
- final energy (eV/cell) = -14.30



This record from OQMD via LeMat-Bulk describes crystalline PtO2 at its relaxed geometry. The functional is GGA-PBE.

abc: 5.421 3.229 7.586
angles: 90.00 90.00 90.00
Sites, in units of the cell vectors:
O: 0.413 0.250 0.119
O: 0.914 0.750 0.119
O: 0.414 0.750 0.381
O: 0.913 0.250 0.381
O: 0.087 0.750 0.619
O: 0.586 0.250 0.619
O: 0.086 0.250 0.881
O: 0.587 0.750 0.881
Pt: 0.750 0.250 0.000
Pt: 0.250 0.250 0.500
Pt: 0.750 0.750 0.500
Pt: 0.250 0.750 0.000

Calculated values
- volume (A^3/atom) = 11.07
- space group = No. 64
- final energy (eV/cell) = -68.23



This record from OQMD via LeMat-Bulk describes crystalline PtO2 at its relaxed geometry. The functional is GGA-PBE.

abc: 4.843 4.843 4.843
angles: 147.18 147.18 47.10
Sites, in units of the cell vectors:
O: 0.130 0.130 0.000
O: 0.870 0.870 0.000
Pt: 0.500 0.500 0.000

Calculated values
- volume (A^3/atom) = 11.08
- space group = No. 139
- final energy (eV/cell) = -13.86



This record from OQMD via LeMat-Bulk describes crystalline Pt2O5 at its relaxed geometry. The functional is GGA-PBE.

abc: 4.851 4.851 4.707
angles: 103.59 103.59 110.29
Site moments in Bohr magnetons follow the coordinates.
Sites, in units of the cell vectors:
O: 0.600 0.001 0.256  0.00
O: 0.001 0.600 0.256  0.00
O: 0.753 0.753 0.728  0.21
O: 0.384 0.066 0.761  -0.05
O: 0.066 0.384 0.761  -0.07
Pt: 0.824 0.167 0.991  0.03
Pt: 0.167 0.824 0.991  0.03

Calculated values
- volume (A^3/atom) = 13.53
- space group = No. 8
- final energy (eV/cell) = -36.24



This record from OQMD via LeMat-Bulk describes crystalline PtO3 at its relaxed geometry. The functional is GGA-PBE.

abc: 5.247 5.247 9.274
angles: 101.19 101.19 120.18
Site moments in Bohr magnetons follow the coordinates.
Sites, in units of the cell vectors:
O: 0.916 0.628 0.124  0.22
O: 0.538 0.877 0.124  0.12
O: 0.302 0.257 0.128  -0.06
O: 0.032 0.411 0.373  -0.06
O: 0.796 0.791 0.375  0.10
O: 0.417 0.038 0.376  0.20
O: 0.962 0.583 0.624  0.20
O: 0.209 0.204 0.625  0.11
O: 0.589 0.968 0.627  -0.07
O: 0.743 0.698 0.872  -0.07
O: 0.123 0.462 0.876  0.13
O: 0.372 0.084 0.876  0.22
Pt: 0.497 0.503 0.000  0.14
Pt: 0.163 0.837 0.000  0.14
Pt: 0.836 0.164 0.500  0.12
Pt: 0.169 0.831 0.500  0.13

Calculated values
- volume (A^3/atom) = 12.71
- space group = No. 15
- final energy (eV/cell) = -83.67



This record from OQMD via LeMat-Bulk describes crystalline PtO2 at its relaxed geometry. The functional is GGA-PBE.

abc: 4.436 4.436 4.436
angles: 60.00 60.00 60.00
Site moments in Bohr magnetons follow the coordinates.
Sites, in units of the cell vectors:
O: 0.625 0.625 0.125  -0.02
O: 0.625 0.125 0.625  -0.02
O: 0.125 0.625 0.625  -0.02
O: 0.625 0.625 0.625  -0.02
Pt: 0.000 0.000 0.000  0.07
Pt: 0.250 0.250 0.250  0.07

Calculated values
- volume (A^3/atom) = 10.29
- space group = No. 227
- final energy (eV/cell) = -21.54